A geometry-optimized PmSi2S6 structure. Source: Alexandria via LeMat-Bulk, functional PBE.

E   -5.307 eV per atom
D(E_F)   23.29 states/eV per cell
Spin magnetization   0.07 Bohr magnetons per cell

abc: 12.0320 12.1635 6.0580
angles: 90.00 96.31 90.00
With the nearest neighbours (Å) after each atom.
Space group C2/c (No. 15)
Symmetry-distinct sites (fractional):
Pm1 0.0000 0.1229 0.2500  6 S 2.78-2.92
Si1 0.2043 0.4280 0.3060  4 S 2.11-2.17
S1 0.1183 0.0809 0.6736  1 Si 2.13
S2 0.1391 0.4278 0.6246  2 Si 2.16-2.17
S3 0.1426 0.2867 0.1301  1 Si 2.11

A geometry-optimized PdPbAu structure. Source: Alexandria via LeMat-Bulk, functional PBE.

Energy above the lowest structure with this stoichiometry   2.09 kJ per mole of atoms
E   -4.200 eV per atom
D(E_F)   0.98 states/eV per cell
Formation enthalpy at 0 K   -0.14 eV per atom
Spin magnetization   0.00 Bohr magnetons per cell

abc: 5.2910 4.7856 5.4431
angles: 90.00 116.80 90.00
With the nearest neighbours (Å) after each atom.
Space group P2_1/m (No. 11)
Symmetry-distinct sites (fractional):
Pd1 0.1560 0.2500 0.4713  4 Pb 2.88-2.93, 4 Au 2.90-3.03, 2 Pd 3.00
Pb1 0.4540 0.7500 0.7717  4 Pd 2.88-2.93, 4 Au 3.02-3.22
Au1 0.1094 0.7500 0.1527  2 Au 2.84, 4 Pd 2.90-3.03, 2 Pb 3.02-3.14

A geometry-optimized Sm2ThBi structure. Source: Alexandria via LeMat-Bulk, functional PBE.

Energy above the lowest structure with this stoichiometry   36.69 kJ per mole of atoms
E   -5.176 eV per atom
D(E_F)   13.34 states/eV per cell
Formation enthalpy at 0 K   0.01 eV per atom
Spin magnetization   0.00 Bohr magnetons per cell

abc: 3.5901 3.5901 36.4830
angles: 90.00 90.00 120.00
With the nearest neighbours (Å) after each atom.
Space group R-3m (No. 166, hexagonal axes)
Symmetry-distinct sites (fractional):
Sm1 0.0000 0.0000 0.0884  1 Bi 3.23, 3 Th 3.53, 6 Sm 3.59
Th1 0.0000 0.0000 0.5000  6 Sm 3.53, 6 Th 3.59
Bi1 0.0000 0.0000 0.0000  2 Sm 3.23, 6 Bi 3.59

A geometry-optimized SrZnPb structure. Source: Alexandria via LeMat-Bulk, functional PBE.

E   -2.605 eV per atom
D(E_F)   1.24 states/eV per cell
Formation enthalpy at 0 K   -0.38 eV per atom
Spin magnetization   0.00 Bohr magnetons per cell

abc: 4.8550 4.8550 7.4734
angles: 90.00 90.00 90.00
With the nearest neighbours (Å) after each atom.
Space group P4/nmm (No. 129, origin choice 2)
Symmetry-distinct sites (fractional):
Sr1 0.2500 0.2500 0.2000  4 Zn 3.30, 5 Pb 3.48-3.55
Zn1 0.2500 0.7500 0.5000  4 Pb 2.96, 4 Sr 3.30
Pb1 0.2500 0.2500 0.7255  4 Zn 2.96

A geometry-optimized ScSe2Cl structure. Source: Alexandria via LeMat-Bulk, functional PBE.

Energy above the lowest structure with this stoichiometry   71.60 kJ per mole of atoms
E   -4.337 eV per atom
D(E_F)   7.06 states/eV per cell
Spin magnetization   0.00 Bohr magnetons per cell

abc: 4.8636 4.8636 6.8427
angles: 90.00 90.00 90.00
With the nearest neighbours (Å) after each atom.
Space group I-4m2 (No. 119)
Symmetry-distinct sites (fractional):
Sc1 0.0000 0.0000 0.0000  4 Cl 2.97, 4 Se 2.97
Se1 0.0000 0.0000 0.5000  4 Cl 2.97, 4 Se 2.97
Se2 0.0000 0.5000 0.2500  4 Se 2.97, 4 Sc 2.97
Cl1 0.0000 0.5000 0.7500  4 Se 2.97, 4 Sc 2.97

A geometry-optimized TmZnH8Ru2 structure. Source: Alexandria via LeMat-Bulk, functional PBE.

E   -4.163 eV per atom
D(E_F)   3.75 states/eV per cell
Spin magnetization   0.00 Bohr magnetons per cell

abc: 4.5793 4.5793 6.4527
angles: 90.00 90.00 120.00
With the nearest neighbours (Å) after each atom.
Space group P-3m1 (No. 164)
Symmetry-distinct sites (fractional):
Tm1 0.0000 0.0000 0.0000  6 H 2.08
Zn1 0.0000 0.0000 0.5000  6 H 1.84
H1 0.1395 0.2790 0.2721  1 Ru 1.59
H2 0.3333 0.6667 0.0825  1 Ru 1.64
Ru1 0.3333 0.6667 0.3364  4 H 1.59-1.64

A geometry-optimized PrZn4Ag4 structure. Source: Alexandria via LeMat-Bulk, functional PBE.

E   -2.423 eV per atom
D(E_F)   10.61 states/eV per cell
Formation enthalpy at 0 K   -0.06 eV per atom
Spin magnetization   0.00 Bohr magnetons per cell

abc: 8.6506 8.6506 4.6958
angles: 90.00 90.00 90.00
With the nearest neighbours (Å) after each atom.
Space group I4/m (No. 87)
Symmetry-distinct sites (fractional):
Pr1 0.0000 0.0000 0.0000  8 Zn 3.20, 4 Ag 3.28
Zn1 0.1205 0.2213 0.5000  4 Ag 2.61-2.72
Ag1 0.0914 0.3681 0.0000  4 Zn 2.61-2.72, 1 Ag 2.78

A geometry-optimized ZnTe3 structure. Source: Alexandria via LeMat-Bulk, functional PBE.

E   -2.219 eV per atom
D(E_F)   9.81 states/eV per cell
Spin magnetization   0.00 Bohr magnetons per cell

abc: 6.0106 6.0106 6.0106
angles: 90.00 90.00 90.00
With the nearest neighbours (Å) after each atom.
Space group Pm-3n (No. 223)
Symmetry-distinct sites (fractional):
Zn1 0.0000 0.0000 0.0000  12 Te 3.36
Te1 0.0000 0.2500 0.5000  2 Te 3.01, 4 Zn 3.36

A geometry-optimized SrRuW2 structure. Source: Alexandria via LeMat-Bulk, functional PBE.

Energy above the lowest structure with this stoichiometry   36.87 kJ per mole of atoms
E   -8.171 eV per atom
D(E_F)   8.16 states/eV per cell
Formation enthalpy at 0 K   1.05 eV per atom
Spin magnetization   0.56 Bohr magnetons per cell

abc: 5.5369 9.9418 2.7775
angles: 90.00 107.50 90.00
With the nearest neighbours (Å) after each atom.
Space group C2/m (No. 12)
Symmetry-distinct sites (fractional):
Sr1 0.0000 0.0000 0.0000  2 Ru 2.77, 2 Sr 2.78, 4 W 2.98
Ru1 0.0000 0.5000 0.0000  2 Sr 2.77, 2 Ru 2.78, 4 W 2.98
W1 0.2500 0.2500 0.5000  4 W 2.77-2.78, 2 Ru 2.98, 2 Sr 2.98

A geometry-optimized SrAg2Te structure. Source: Alexandria via LeMat-Bulk, functional PBE.

Energy above the lowest structure with this stoichiometry   5.51 kJ per mole of atoms
E   -3.077 eV per atom
D(E_F)   0.95 states/eV per cell
Spin magnetization   0.00 Bohr magnetons per cell

abc: 4.2995 4.6226 6.0716
angles: 90.00 90.14 90.00
With the nearest neighbours (Å) after each atom.
Space group Pm (No. 6)
Symmetry-distinct sites (fractional):
Sr1 0.0000 0.0000 0.0000  4 Te 3.43, 8 Ag 3.50-3.79
Ag1 0.5001 0.0000 0.4871  2 Ag 2.73, 2 Te 2.92
Ag2 0.5016 0.5000 0.2489  2 Ag 2.73, 1 Te 2.85
Te1 0.4992 0.5000 0.7800  3 Ag 2.85-2.92

A geometry-optimized SmErTh2 structure. Source: Alexandria via LeMat-Bulk, functional PBE.

Energy above the lowest structure with this stoichiometry   2.64 kJ per mole of atoms
E   -5.973 eV per atom
D(E_F)   6.01 states/eV per cell
Formation enthalpy at 0 K   0.06 eV per atom
Spin magnetization   0.00 Bohr magnetons per cell

abc: 5.0126 5.0126 5.1251
angles: 90.00 90.00 90.00
With the nearest neighbours (Å) after each atom.
Space group P4/mmm (No. 123)
Symmetry-distinct sites (fractional):
Sm1 0.0000 0.0000 0.0000  4 Er 3.54, 8 Th 3.58
Er1 0.5000 0.5000 0.0000  4 Sm 3.54, 8 Th 3.58
Th1 0.0000 0.5000 0.5000  4 Th 3.54, 4 Er 3.58, 4 Sm 3.58

A geometry-optimized Li4Mg2Ag structure. Source: Alexandria via LeMat-Bulk, functional PBE.

Energy above the lowest structure with this stoichiometry   0.00 kJ per mole of atoms
E   -2.003 eV per atom
D(E_F)   11.23 states/eV per cell
Formation enthalpy at 0 K   -0.05 eV per atom
Spin magnetization   0.00 Bohr magnetons per cell

abc: 7.9477 7.9833 8.9425
angles: 90.00 90.00 90.00
With the nearest neighbours (Å) after each atom.
Space group Fmm2 (No. 42)
Symmetry-distinct sites (fractional):
Li1 0.0000 0.2492 0.9997  4 Li 2.82, 4 Mg 2.99, 2 Ag 2.99-3.00
Li2 0.2492 0.0000 0.5000  4 Li 2.82, 2 Ag 2.99, 4 Mg 3.00
Mg1 0.2500 0.2500 0.2498  2 Ag 2.82, 8 Li 2.99-3.00
Ag1 0.0000 0.0000 0.2499  4 Mg 2.82, 8 Li 2.99-3.00

A geometry-optimized Tb2PrNdDy5 structure. Source: Alexandria via LeMat-Bulk, functional PBE.

E   -4.376 eV per atom
D(E_F)   42.87 states/eV per cell
Formation enthalpy at 0 K   0.27 eV per atom
Spin magnetization   0.00 Bohr magnetons per cell

abc: 8.8482 8.8482 15.1388
angles: 90.00 90.00 90.00
With the nearest neighbours (Å) after each atom.
Space group I4/mcm (No. 140)
Symmetry-distinct sites (fractional):
Tb1 0.1153 0.3847 0.0000  1 Tb 2.89, 2 Dy 3.03
Pr1 0.0000 0.0000 0.2500  10 Dy 3.64-3.78
Nd1 0.0000 0.5000 0.2500  4 Dy 3.11
Dy1 0.0000 0.0000 0.0000  4 Tb 3.55, 8 Dy 3.76, 2 Pr 3.78
Dy2 0.2043 0.2957 0.3670  1 Tb 3.03, 1 Nd 3.11

A geometry-optimized La6Cd2RuN structure. Source: Alexandria via LeMat-Bulk, functional PBE.

E   -5.336 eV per atom
D(E_F)   9.08 states/eV per cell
Spin magnetization   0.00 Bohr magnetons per cell

abc: 7.4270 7.4370 7.4436
angles: 61.30 61.17 61.46
With the nearest neighbours (Å) after each atom.
Space group P-1 (No. 2)
Symmetry-distinct sites (fractional):
La1 0.1674 0.3114 0.2599  1 N 2.60, 1 Ru 2.81
La2 0.2464 0.8284 0.1920  1 N 2.60, 1 Ru 2.81
La3 0.3069 0.7634 0.6725  1 N 2.60, 1 Ru 2.82
Cd1 0.2442 0.2418 0.7445  4 La 3.27-3.63
Ru1 0.5000 0.5000 0.0000  6 La 2.81-2.82
N1 0.0000 0.0000 0.5000  6 La 2.60

A geometry-optimized BCS structure. Source: Alexandria via LeMat-Bulk, functional PBE.

Energy above the lowest structure with this stoichiometry   9.17 kJ per mole of atoms
E   -6.424 eV per atom
D(E_F)   0.00 states/eV per cell
Spin magnetization   0.00 Bohr magnetons per cell

abc: 3.8431 4.1971 6.2578
angles: 85.07 72.58 75.77
With the nearest neighbours (Å) after each atom.
Space group P1 (No. 1)
Symmetry-distinct sites (fractional):
B1 0.0000 0.0000 0.0000  2 C 1.48-1.57
B2 0.2670 0.4160 0.1124  2 C 1.53-1.61
C1 0.2092 0.0654 0.1495  2 B 1.48-1.53
C2 0.9249 0.6445 0.0311  2 B 1.57-1.61
S1 0.4497 0.7152 0.2612  2 C 1.74-1.93
S2 0.8049 0.3838 0.8538  1 C 1.85, 1 B 1.89

A geometry-optimized SrFeSI2 structure. Source: Alexandria via LeMat-Bulk, functional PBE.

E   -3.202 eV per atom
D(E_F)   21.89 states/eV per cell
Spin magnetization   4.18 Bohr magnetons per cell

abc: 6.3260 6.3260 5.5775
angles: 90.00 90.00 90.00
With the nearest neighbours (Å) after each atom.
Space group P4/mmm (No. 123)
Symmetry-distinct sites (fractional):
Sr1 0.0000 0.0000 0.0000  2 S 2.79
Fe1 0.5000 0.5000 0.5000  8 I 4.22, 4 S 4.47
S1 0.0000 0.0000 0.5000  2 Sr 2.79
I1 0.0000 0.5000 0.0000  2 Sr 3.16

A geometry-optimized TaSiMo3 structure. Source: Alexandria via LeMat-Bulk, functional PBE.

Energy above the lowest structure with this stoichiometry   114.75 kJ per mole of atoms
E   -7.926 eV per atom
D(E_F)   8.92 states/eV per cell
Spin magnetization   1.20 Bohr magnetons per cell

abc: 4.7562 4.7562 4.7562
angles: 90.00 90.00 90.00
With the nearest neighbours (Å) after each atom.
Space group Pm-3m (No. 221)
Symmetry-distinct sites (fractional):
Ta1 0.0000 0.0000 0.0000  6 Mo 2.38
Si1 0.5000 0.5000 0.5000  12 Mo 3.36
Mo1 0.0000 0.0000 0.5000  2 Ta 2.38

A geometry-optimized Y3Be structure. Source: Alexandria via LeMat-Bulk, functional PBE.

Energy above the lowest structure with this stoichiometry   19.09 kJ per mole of atoms
E   -5.518 eV per atom
D(E_F)   5.09 states/eV per cell
Formation enthalpy at 0 K   0.26 eV per atom
Spin magnetization   0.00 Bohr magnetons per cell

abc: 3.6443 4.7135 6.3988
angles: 90.00 102.78 90.00
With the nearest neighbours (Å) after each atom.
Space group P2/m (No. 10)
Symmetry-distinct sites (fractional):
Y1 0.0000 0.0000 0.0000  2 Be 3.20, 8 Y 3.45
Y2 0.3903 0.5000 0.7211  2 Be 2.95, 1 Y 3.11
Be1 0.0000 0.0000 0.5000  6 Y 2.95-3.20

A geometry-optimized Mg2HgO structure. Source: Alexandria via LeMat-Bulk, functional PBE.

Energy above the lowest structure with this stoichiometry   0.00 kJ per mole of atoms
E   -3.361 eV per atom
D(E_F)   3.81 states/eV per cell
Spin magnetization   0.00 Bohr magnetons per cell

abc: 3.1740 3.1740 21.4274
angles: 90.00 90.00 120.00
With the nearest neighbours (Å) after each atom.
Space group R-3m (No. 166, hexagonal axes)
Symmetry-distinct sites (fractional):
Mg1 0.0000 0.0000 0.2238  3 O 2.20
Hg1 0.0000 0.0000 0.0000  6 Mg 2.98, 6 Hg 3.17
O1 0.0000 0.0000 0.5000  6 Mg 2.20

A geometry-optimized Ho7Zn2Rh2 structure. Source: Alexandria via LeMat-Bulk, functional PBE.

E   -4.819 eV per atom
D(E_F)   20.11 states/eV per cell
Formation enthalpy at 0 K   -0.34 eV per atom
Spin magnetization   0.00 Bohr magnetons per cell

abc: 7.6896 10.7384 7.0354
angles: 90.00 90.00 90.00
With the nearest neighbours (Å) after each atom.
Space group Cmmm (No. 65)
Symmetry-distinct sites (fractional):
Ho1 0.0000 0.0000 0.0000  2 Rh 3.14
Ho2 0.0000 0.5000 0.2553  2 Rh 2.87, 2 Zn 3.07
Ho3 0.2500 0.2500 0.2613  2 Rh 2.70
Zn1 0.1692 0.0000 0.5000  1 Zn 2.60
Rh1 0.0000 0.2921 0.0000  6 Ho 2.70-2.87